DyMn2PO8 | PBE with a Hubbard U | relaxed

Summary:
DFT total energy = -6.91 eV/atom
Space-group type = No. 164
Density = 4.5 g/cm³

Lattice parameters (Å, degrees): 5.6923 5.6923 5.6625 90.00 90.00 120.00
Each line ends with the local moment (μB).
Atoms (fractional coordinates):
1 O 0.8580 0.7160 0.8178  -0.07
2 O 0.6667 0.3333 0.2132  -0.47
3 O 0.8580 0.1420 0.8178  -0.07
4 O 0.2840 0.1420 0.8178  -0.07
5 O 0.1420 0.8580 0.1822  -0.07
6 O 0.7160 0.8580 0.1822  -0.07
7 O 0.1420 0.2840 0.1822  -0.07
8 O 0.3333 0.6667 0.7868  -0.47
9 P 0.0000 0.0000 0.0000  0.03
10 Dy 0.0000 0.0000 0.5000  0.03
11 Mn 0.3333 0.6667 0.0873  3.62
12 Mn 0.6667 0.3333 0.9127  3.62